# ScPaZnHg | Alexandria | PBE-GGA | relaxed
data_ScPaZnHg
_symmetry_space_group_name_H-M 'P 1'
_symmetry_Int_Tables_number 1
_cell_length_a 5.0480
_cell_length_b 5.0480
_cell_length_c 5.0480
_cell_angle_alpha 60.00
_cell_angle_beta 60.00
_cell_angle_gamma 60.00
loop_
_symmetry_equiv_pos_as_xyz
'x,y,z'
loop_
_atom_site_label
_atom_site_type_symbol
_atom_site_fract_x
_atom_site_fract_y
_atom_site_fract_z
Sc1 Sc 0.7500 0.7500 0.7500
Zn1 Zn 0.0000 0.0000 0.0000
Pa1 Pa 0.2500 0.2500 0.2500
Hg1 Hg 0.5000 0.5000 0.5000
# Density of states at the Fermi level, states/eV/atom: 1.993
# Calculated density, kg/m³: 9895
# ΔH_f (0 K), meV per atom: -9